No. 1
The following is a PBE calculation of NpTa4O12 after structural relaxation, from Alexandria via LeMat-Bulk.

Geometry as extended XYZ:
```
17
Lattice="6.342 -0.019 -2.348 -3.131 5.567 -2.224 -0.058 0.019 6.762" Properties=species:S:1:pos:R:3 pbc="T T T"
O -1.119 4.124 4.219
O 5.213 1.448 1.880
O 1.612 5.178 -2.296
Np -1.594 2.793 2.269
Ta 3.171 -0.009 -1.174
O 1.541 0.389 4.486
O 0.406 4.119 2.043
O 2.748 1.448 0.148
Ta 1.577 2.783 1.095
O 2.753 4.106 0.136
O -2.059 4.119 0.311
Ta -1.623 2.802 5.651
O 0.224 2.779 -0.318
O 2.930 2.788 2.509
O 4.273 1.442 -2.028
Ta -0.029 0.009 3.381
O 0.401 1.461 2.055
```

Results
Space group   No. 139
Formation energy without anion corrections   -2.831 eV/atom

=====

No. 2
The following is a PBE calculation of NpTaO4 after structural relaxation, from Alexandria via LeMat-Bulk.

Geometry as extended XYZ:
```
24
Lattice="5.425 0.000 0.000 0.000 7.615 -1.173 0.000 -0.036 7.704" Properties=species:S:1:pos:R:3 pbc="T T T"
Np 4.225 2.707 0.406
Ta 1.462 1.222 2.161
O 2.758 4.646 4.419
O 3.497 6.319 2.421
Np 1.201 4.872 6.125
O 2.686 2.509 6.344
Np 3.913 2.689 4.258
Ta 3.964 6.357 4.370
O 0.784 1.278 0.258
O 0.046 2.915 5.965
Ta 1.251 1.204 6.013
O 1.928 1.260 4.110
O 3.248 0.479 1.464
O 4.641 6.301 6.273
O 2.667 2.933 2.113
O 2.177 7.100 5.067
O 0.026 2.527 2.492
O 0.535 7.118 1.215
O 5.399 5.052 4.039
O 2.739 5.070 0.187
Ta 4.174 6.375 0.518
O 4.890 0.461 5.316
O 5.380 4.664 0.566
Np 1.512 4.890 2.273
```

Results
Space group   No. 14
Formation energy without anion corrections   -2.864 eV/atom

=====

What did the first record say?
The following is a PBE calculation of NpTa4O12 after structural relaxation, from Alexandria via LeMat-Bulk.

Geometry as extended XYZ:
```
17
Lattice="6.342 -0.019 -2.348 -3.131 5.567 -2.224 -0.058 0.019 6.762" Properties=species:S:1:pos:R:3 pbc="T T T"
O -1.119 4.124 4.219
O 5.213 1.448 1.880
O 1.612 5.178 -2.296
Np -1.594 2.793 2.269
Ta 3.171 -0.009 -1.174
O 1.541 0.389 4.486
O 0.406 4.119 2.043
O 2.748 1.448 0.148
Ta 1.577 2.783 1.095
O 2.753 4.106 0.136
O -2.059 4.119 0.311
Ta -1.623 2.802 5.651
O 0.224 2.779 -0.318
O 2.930 2.788 2.509
O 4.273 1.442 -2.028
Ta -0.029 0.009 3.381
O 0.401 1.461 2.055
```

Results
Space group   No. 139
Formation energy without anion corrections   -2.831 eV/atom